The following is a DFT calculation (PBE) of a relaxed GdPaCoTc crystal. Values from VASP.

```
&SYSTEM
  ibrav = 0, nat = 4, ntyp = 4
/
ATOMIC_SPECIES
Gd 157.25 Gd.upf
Pa 231.04 Pa.upf
Co 58.93 Co.upf
Tc 98.00 Tc.upf
ATOMIC_POSITIONS crystal
Gd 0.000 0.000 0.000
Pa 0.500 0.500 0.500
Co 0.750 0.750 0.750
Tc 0.250 0.250 0.250
CELL_PARAMETERS angstrom
0.000 3.401 3.401
3.401 0.000 3.401
3.401 3.401 0.000
```

Values from the calculation:
The symmetry is No. 216. The calculation puts the density of states at the Fermi level at 2.52 states/eV per cell. The formation energy is -0.08 eV/atom. The value obtained for the size of the total moment is 7.4 Bohr magnetons per cell. The calculation puts the electronic total energy at -10.34 eV per atom.

The following is a DFT calculation (PBE) of a relaxed Gd4CoPb2 crystal. Values from VASP.

```
&SYSTEM
  ibrav = 0, nat = 7, ntyp = 3
/
ATOMIC_SPECIES
Gd 157.25 Gd.upf
Co 58.93 Co.upf
Pb 207.20 Pb.upf
ATOMIC_POSITIONS crystal
Gd 0.000 0.500 0.500
Gd 0.176 0.176 0.000
Gd 0.500 0.000 0.500
Gd 0.824 0.824 0.000
Co 0.500 0.500 0.000
Pb 0.350 0.350 0.000
Pb 0.650 0.650 0.000
CELL_PARAMETERS angstrom
-2.452 2.452 8.825
2.452 -2.452 8.825
2.452 2.452 -8.825
```

Values from the calculation:
The symmetry is No. 139. The calculation puts the density of states at the Fermi level at 9.23 states/eV per cell. The formation energy is -0.21 eV/atom. The value obtained for the size of the total moment is 28.7 Bohr magnetons per cell. The calculation puts the electronic total energy at -10.33 eV per atom.

The following is a DFT calculation (PBE) of a relaxed Gd3CoPb crystal. Values from VASP.

```
&SYSTEM
  ibrav = 0, nat = 5, ntyp = 3
/
ATOMIC_SPECIES
Gd 157.25 Gd.upf
Co 58.93 Co.upf
Pb 207.20 Pb.upf
ATOMIC_POSITIONS crystal
Gd 0.000 0.000 0.500
Gd 0.000 0.500 0.000
Gd 0.500 0.000 0.000
Co 0.000 0.000 0.000
Pb 0.500 0.500 0.500
CELL_PARAMETERS angstrom
5.185 0.000 0.000
0.000 5.185 0.000
0.000 0.000 5.185
```

Values from the calculation:
The symmetry is No. 221. The calculation puts the density of states at the Fermi level at 4.69 states/eV per cell. The formation energy is -0.30 eV/atom. The value obtained for the size of the total moment is 21.7 Bohr magnetons per cell. The calculation puts the electronic total energy at -10.91 eV per atom.

The following is a DFT calculation (PBE) of a relaxed GdCoPb crystal. Values from VASP.

```
&SYSTEM
  ibrav = 0, nat = 3, ntyp = 3
/
ATOMIC_SPECIES
Gd 157.25 Gd.upf
Co 58.93 Co.upf
Pb 207.20 Pb.upf
ATOMIC_POSITIONS crystal
Gd 0.000 0.000 0.000
Co 0.250 0.250 0.250
Pb 0.500 0.500 0.500
CELL_PARAMETERS angstrom
0.000 3.270 3.270
3.270 0.000 3.270
3.270 3.270 0.000
```

Values from the calculation:
The symmetry is No. 216. The calculation puts the density of states at the Fermi level at 4.60 states/eV per cell. The formation energy is -0.14 eV/atom. The value obtained for the size of the total moment is 8.4 Bohr magnetons per cell. The calculation puts the electronic total energy at -8.44 eV per atom.